## Sm6DySc3 (PBE-GGA)

Data for crystalline Sm6DySc3 at its relaxed geometry.

Computed properties:
formation energy from the elements	0.1829	eV per atom
DOS(E_F)	1.892	states/eV/atom
ΔE to the lowest computed polymorph	0.044	eV per atom

Cell: 6.796 6.796 6.796 Å, 91.17 91.17 91.17°
Element x y z (fractional)
Sm (0.000, 0.338, 0.662)
Sm (0.164, 0.835, 0.500)
Sm (0.338, 0.662, 0.000)
Sm (0.500, 0.164, 0.835)
Sm (0.662, 0.000, 0.338)
Sm (0.835, 0.500, 0.164)
Dy (0.999, 0.999, 0.999)
Sc (0.258, 0.258, 0.258)
Sc (0.499, 0.499, 0.499)
Sc (0.740, 0.740, 0.740)


## Ti2ReHOs (PBE-GGA)

Data for crystalline Ti2ReHOs at its relaxed geometry.

Computed properties:
DOS(E_F)	0.310	states/eV/atom
ΔE to the lowest computed polymorph	0.000	eV per atom

Cell: 4.369 4.369 3.317 Å, 90.00 90.00 90.00°
Element x y z (fractional)
Ti (0.000, 0.500, 0.000)
Ti (0.500, 0.000, 0.000)
Re (0.000, 0.000, 0.500)
H (0.000, 0.000, 0.000)
Os (0.500, 0.500, 0.500)


## RbCuN3 (PBE-GGA)

Data for crystalline RbCuN3 at its relaxed geometry.

Computed properties:
DOS(E_F)	1.076	states/eV/atom
ΔE_f (raw)	2.02	eV per atom

Cell: 4.003 4.003 4.003 Å, 90.00 90.00 90.00°
Element x y z (fractional)
Rb (0.000, 0.000, 0.000)
Cu (0.500, 0.500, 0.500)
N (0.000, 0.500, 0.500)
N (0.500, 0.000, 0.500)
N (0.500, 0.500, 0.000)


## LiB2C2 (PBE-GGA)

Data for crystalline LiB2C2 at its relaxed geometry.

Computed properties:
formation energy from the elements	-0.0413	eV per atom
DOS(E_F)	0.150	states/eV/atom
ΔE to the lowest computed polymorph	0.028	eV per atom

Cell: 7.798 7.798 5.354 Å, 99.89 99.89 35.31°
Element x y z (fractional)
Li (0.125, 0.125, 0.084)
Li (0.373, 0.376, 0.203)
Li (0.624, 0.627, 0.797)
Li (0.875, 0.875, 0.916)
B (0.332, 0.668, 0.500)
B (0.336, 0.664, 0.000)
B (0.413, 0.087, 0.872)
B (0.418, 0.083, 0.379)
B (0.833, 0.164, 0.252)
B (0.836, 0.167, 0.748)
B (0.913, 0.587, 0.128)
B (0.917, 0.582, 0.621)
C (0.084, 0.416, 0.876)
C (0.091, 0.410, 0.374)
C (0.158, 0.835, 0.247)
C (0.165, 0.842, 0.753)
C (0.584, 0.916, 0.124)
C (0.590, 0.909, 0.626)
C (0.659, 0.341, 0.500)
C (0.665, 0.335, 0.000)


## Tb3Pm2PrSm6 (PBE-GGA)

Data for crystalline Tb3Pm2PrSm6 at its relaxed geometry.

Computed properties:
formation energy from the elements	0.0144	eV per atom
DOS(E_F)	1.391	states/eV/atom

Cell: 6.277 6.277 12.010 Å, 95.00 95.00 119.99°
Element x y z (fractional)
Tb (0.000, 0.000, 0.000)
Tb (0.333, 0.667, 0.000)
Tb (0.667, 0.333, 0.000)
Pm (0.167, 0.833, 0.500)
Pm (0.833, 0.167, 0.500)
Pr (0.500, 0.500, 0.500)
Sm (0.082, 0.416, 0.247)
Sm (0.251, 0.251, 0.753)
Sm (0.416, 0.082, 0.247)
Sm (0.584, 0.918, 0.753)
Sm (0.749, 0.749, 0.247)
Sm (0.918, 0.584, 0.753)


## Pm2GaCu (PBE-GGA)

Data for crystalline Pm2GaCu at its relaxed geometry.

Computed properties:
formation energy from the elements	-0.3560	eV per atom
DOS(E_F)	1.056	states/eV/atom

Cell: 3.574 3.574 7.445 Å, 90.00 90.00 90.00°
Element x y z (fractional)
Pm (0.000, 0.000, 0.243)
Pm (0.000, 0.000, 0.757)
Ga (0.500, 0.500, 0.500)
Cu (0.500, 0.500, 0.000)


## NaCr2Tc2 (PBE-GGA)

Data for crystalline NaCr2Tc2 at its relaxed geometry.

Computed properties:
formation energy from the elements	0.4824	eV per atom
DOS(E_F)	0.983	states/eV/atom
ΔE to the lowest computed polymorph	0.000	eV per atom

Cell: 7.618 7.618 2.622 Å, 90.00 90.00 90.00°
Element x y z (fractional)
Na (0.000, 0.000, 0.000)
Na (0.500, 0.500, 0.000)
Cr (0.145, 0.355, 0.500)
Cr (0.355, 0.855, 0.500)
Cr (0.645, 0.145, 0.500)
Cr (0.855, 0.645, 0.500)
Tc (0.145, 0.645, 0.000)
Tc (0.355, 0.145, 0.000)
Tc (0.645, 0.855, 0.000)
Tc (0.855, 0.355, 0.000)


## MgMn2Si (PBE-GGA)

Data for crystalline MgMn2Si at its relaxed geometry.

Computed properties:
DOS(E_F)	0.539	states/eV/atom
ΔE_f (raw)	-0.03	eV per atom

Cell: 2.986 2.986 5.959 Å, 90.00 90.00 90.00°
Element x y z (fractional)
Mg (0.000, 0.000, 0.000)
Mn (0.500, 0.500, 0.292)
Mn (0.500, 0.500, 0.708)
Si (0.000, 0.000, 0.500)


What did the sixth record say?
## Pm2GaCu (PBE-GGA)

Data for crystalline Pm2GaCu at its relaxed geometry.

Computed properties:
formation energy from the elements	-0.3560	eV per atom
DOS(E_F)	1.056	states/eV/atom

Cell: 3.574 3.574 7.445 Å, 90.00 90.00 90.00°
Element x y z (fractional)
Pm (0.000, 0.000, 0.243)
Pm (0.000, 0.000, 0.757)
Ga (0.500, 0.500, 0.500)
Cu (0.500, 0.500, 0.000)


Question: Which value of DOS(E_F) does entry 2 give?
Answer: 0.310 states/eV/atom